The following is a DFT calculation (PBE-GGA) of an optimized crystal structure of Mn2CrCo.

Cell and atoms, written as CIF:
```
data_Mn2CrCo
_chemical_formula_sum 'Mn6 Cr3 Co3'
_symmetry_space_group_name_H-M 'R 3 m'
_symmetry_Int_Tables_number 160
_symmetry_space_group_name_Hall 'R 3 -2"'
_cell_length_a 2.4874
_cell_length_b 2.4874
_cell_length_c 24.6494
_cell_angle_alpha 90.00
_cell_angle_beta 90.00
_cell_angle_gamma 120.00
loop_
_atom_site_label
_atom_site_type_symbol
_atom_site_fract_x
_atom_site_fract_y
_atom_site_fract_z
Mn1 Mn 0.0000 0.0000 0.0000
Mn2 Mn 0.0000 0.0000 0.1701
Cr1 Cr 0.0000 0.0000 0.7517
Co1 Co 0.0000 0.0000 0.5859
```

The formation energy comes out at 15 kJ per mole of atoms.